Density functional theory data (PBE) for crystalline Y3TlIn at its relaxed geometry.

Output
Electronic total energy in eV per atom: -5.17
Density of states at the Fermi level in states/eV/cell: 9.61
Energy of formation in eV/atom: -0.272

Geometry as extended XYZ:
```
10
Lattice="5.1602 -0.0006 0.0045 -2.5762 5.9951 0.8242 0.0069 -1.1919 9.3753" Properties=species:S:1:pos:R:3 pbc="T T T"
Y 0.0089 4.6454 2.0269
Y 0.0033 1.0376 5.5047
Y 2.5837 3.8679 8.5449
Y 0.0072 0.9347 1.6591
Y 2.5821 0.1572 8.1771
Y 2.5876 3.7650 4.6993
Tl 2.5900 2.8797 1.6736
Tl 0.0009 1.9229 8.5305
In 2.5861 0.5579 3.7264
In 0.0049 4.2447 6.4776
```



Density functional theory data (PBE) for crystalline Y2Tl3In3 at its relaxed geometry.

Output
Electronic total energy in eV per atom: -3.86
Density of states at the Fermi level in states/eV/cell: 3.53
Energy of formation in eV/atom: -0.327

Geometry as extended XYZ:
```
8
Lattice="4.7520 0.0000 0.0000 0.0000 4.7075 0.0000 0.0000 0.0000 9.3655" Properties=species:S:1:pos:R:3 pbc="T T T"
Y 0.0000 0.0000 7.0431
Y 0.0000 0.0000 2.3224
Tl 2.3760 0.0000 4.6827
Tl 0.0000 2.3538 0.0000
Tl 0.0000 2.3538 4.6827
In 2.3760 2.3538 7.0598
In 2.3760 2.3538 2.3057
In 2.3760 0.0000 0.0000
```



Density functional theory data (PBE) for crystalline YTl2In2 at its relaxed geometry.

Output
Electronic total energy in eV per atom: -3.30
Density of states at the Fermi level in states/eV/cell: 3.06
Energy of formation in eV/atom: 0.031

Geometry as extended XYZ:
```
5
Lattice="-2.1807 1.7247 -3.5449 -3.0248 -3.3300 0.2406 -6.7136 3.2568 2.8518" Properties=species:S:1:pos:R:3 pbc="T T T"
Y 0.0000 0.0000 0.0000
Tl -5.7485 2.0894 -1.1726
Tl -6.1705 -0.4379 0.7201
In -3.3870 -0.0282 -0.7929
In -8.5321 1.6797 0.3404
```



Density functional theory data (PBE) for crystalline Y4TlIn at its relaxed geometry.

Output
Electronic total energy in eV per atom: -4.96
Density of states at the Fermi level in states/eV/cell: 6.59
Energy of formation in eV/atom: 0.200

Geometry as extended XYZ:
```
6
Lattice="0.0000 4.5014 4.5014 4.5014 0.0000 4.5014 4.5014 4.5014 0.0000" Properties=species:S:1:pos:R:3 pbc="T T T"
Y 3.3785 5.6244 5.6244
Y 5.6244 5.6244 3.3785
Y 5.6244 3.3785 5.6244
Y 3.3785 3.3785 3.3785
Tl 0.0000 0.0000 0.0000
In 6.7522 6.7522 6.7522
```



Density functional theory data (PBE) for crystalline Y6TlIn at its relaxed geometry.

Output
Electronic total energy in eV per atom: -5.72
Density of states at the Fermi level in states/eV/cell: 8.20
Energy of formation in eV/atom: -0.237

Geometry as extended XYZ:
```
8
Lattice="-0.2740 4.5031 1.8264 1.1585 -1.7160 4.4048 9.4461 1.3665 -1.9522" Properties=species:S:1:pos:R:3 pbc="T T T"
Y 0.4423 1.3936 3.1156
Y 5.1653 2.0768 2.1395
Y 2.2122 2.5914 0.4277
Y 6.9599 3.2782 -0.5535
Y 2.9285 -0.5182 1.7169
Y 7.6761 0.1687 0.7357
Tl 4.7231 0.6833 -0.9761
In 0.0000 0.0000 0.0000
```



Density functional theory data (PBE) for crystalline YTlIn at its relaxed geometry.

Output
Electronic total energy in eV per atom: -4.06
Density of states at the Fermi level in states/eV/cell: 2.42
Energy of formation in eV/atom: -0.208

Geometry as extended XYZ:
```
3
Lattice="6.6110 0.0420 -0.0300 4.5543 4.7922 0.0300 -5.5725 -2.4406 2.5882" Properties=species:S:1:pos:R:3 pbc="T T T"
In 11.1420 4.8242 0.0000
Tl 3.7819 1.6374 0.0000
Y 7.4067 3.2069 0.0000
```



Density functional theory data (PBE) for crystalline Y2TlIn at its relaxed geometry.

Output
Electronic total energy in eV per atom: -4.82
Density of states at the Fermi level in states/eV/cell: 3.59
Energy of formation in eV/atom: -0.316

Geometry as extended XYZ:
```
4
Lattice="-1.7487 -4.3645 2.2206 1.9464 -4.0666 2.5908 -0.7858 1.9331 6.2859" Properties=species:S:1:pos:R:3 pbc="T T T"
In -0.4411 -4.8735 8.3230
Tl -0.1470 -1.6245 2.7743
Y -0.7828 1.9200 6.2670
Y -0.2970 -3.2360 5.5675
```



Density functional theory data (PBE) for crystalline YTlIn3 at its relaxed geometry.

Output
Electronic total energy in eV per atom: -2.93
Density of states at the Fermi level in states/eV/cell: 3.34
Energy of formation in eV/atom: 0.480

Geometry as extended XYZ:
```
5
Lattice="-0.5793 1.8281 5.2459 -4.1494 -3.6493 0.8136 3.6938 -3.8127 1.7366" Properties=species:S:1:pos:R:3 pbc="T T T"
Y -0.5174 -2.8170 3.8980
Tl 0.0000 0.0000 0.0000
In -2.0747 -1.8247 0.4068
In 1.8469 -1.9064 0.8683
In -0.2896 0.9141 2.6229
```



Density functional theory data (PBE) for crystalline Y5Tl2In2 at its relaxed geometry.

Output
Electronic total energy in eV per atom: -5.11
Density of states at the Fermi level in states/eV/cell: 12.60
Energy of formation in eV/atom: -0.381

Geometry as extended XYZ:
```
18
Lattice="-4.1243 -4.7428 4.8032 5.9488 0.6480 5.7479 -6.6767 6.0484 0.2394" Properties=species:S:1:pos:R:3 pbc="T T T"
Y 0.0000 0.0000 0.0000
Y 0.9122 -2.0474 5.2755
Y -0.3881 -1.7277 8.7675
Y 0.1623 1.1618 3.5076
Y 2.4808 0.7315 7.1454
Y -2.7066 -1.2975 5.1297
Y -4.4641 3.6814 2.0229
Y -5.0145 0.7918 7.2828
Y -7.3330 1.2221 3.6450
Y -2.1457 3.2511 5.6607
Tl 2.5842 -2.4221 8.0307
Tl -0.7597 -1.6727 2.5203
Tl 3.2071 -0.2075 4.2385
Tl -1.3826 -3.8873 6.3126
In -1.5579 2.6814 1.3100
In -0.6457 0.6340 6.5856
In 0.8300 4.0150 4.6772
In -4.2066 1.3196 4.2048
```



Density functional theory data (PBE) for crystalline Y10Tl3In3 at its relaxed geometry.

Output
Electronic total energy in eV per atom: -5.38
Density of states at the Fermi level in states/eV/cell: 23.25
Energy of formation in eV/atom: -0.385

Geometry as extended XYZ:
```
16
Lattice="6.6214 0.0000 0.0000 0.0000 7.8516 -4.5331 0.0000 0.0000 9.0662" Properties=species:S:1:pos:R:3 pbc="T T T"
Y 1.6537 5.2344 0.0000
Y 1.6537 2.6172 4.5331
Y 4.9677 2.6172 4.5331
Y 4.9677 5.2344 0.0000
Y 3.3107 0.0000 6.9214
Y 3.3107 5.9941 -3.4607
Y 3.3107 1.8574 1.0724
Y 0.0000 0.0000 2.1427
Y 0.0000 1.8556 -1.0714
Y 0.0000 5.9960 3.4618
Tl 3.3107 0.0000 3.6467
Tl 3.3107 3.1582 -1.8234
Tl 3.3107 4.6934 2.7098
In 0.0000 0.0000 5.4210
In 0.0000 4.6947 -2.7105
In 0.0000 3.1568 1.8226
```



Density functional theory data (PBE) for crystalline YTlIn at its relaxed geometry.

Output
Electronic total energy in eV per atom: -4.12
Density of states at the Fermi level in states/eV/cell: 8.07
Energy of formation in eV/atom: -0.263

Geometry as extended XYZ:
```
12
Lattice="-2.8452 3.5702 0.1749 -5.0100 -4.0170 0.4996 0.9369 0.2054 11.0480" Properties=species:S:1:pos:R:3 pbc="T T T"
Tl -1.9724 0.9349 8.4983
Tl -3.5233 -2.9614 3.1367
Tl -4.4774 -1.0735 8.7481
Tl -1.0183 -0.9529 2.8869
Y -1.9632 -1.8897 6.6388
Y 0.8636 0.1893 10.1830
Y -1.0275 1.8717 4.7464
Y -3.8542 -0.2073 1.2022
In 0.5778 0.1267 6.8133
In -1.6774 -1.8271 10.0084
In -1.3132 1.8091 1.3768
In -3.5685 -0.1446 4.5719
```



Density functional theory data (PBE) for crystalline Y2TlIn at its relaxed geometry.

Output
Electronic total energy in eV per atom: -4.83
Density of states at the Fermi level in states/eV/cell: 3.52
Energy of formation in eV/atom: -0.317

Geometry as extended XYZ:
```
4
Lattice="9.9833 0.0177 0.0105 9.2872 3.6625 0.0105 9.2872 1.7736 3.2044" Properties=species:S:1:pos:R:3 pbc="T T T"
In 7.1394 1.3635 0.8063
Tl 21.4183 4.0904 2.4190
Y 28.5136 5.4454 3.2204
Y 14.3230 2.7353 1.6177
```



Density functional theory data (PBE) for crystalline Y2TlIn at its relaxed geometry.

Output
Electronic total energy in eV per atom: -4.44
Density of states at the Fermi level in states/eV/cell: 5.86
Energy of formation in eV/atom: 0.073

Geometry as extended XYZ:
```
4
Lattice="5.4521 0.0000 0.0000 2.7260 4.7216 0.0000 2.7260 1.5739 4.4516" Properties=species:S:1:pos:R:3 pbc="T T T"
In 5.4521 3.1477 2.2258
Tl 8.1781 4.7216 3.3387
Y 0.0000 0.0000 0.0000
Y 2.7260 1.5739 1.1129
```



Density functional theory data (PBE) for crystalline Y5Tl2In at its relaxed geometry.

Output
Electronic total energy in eV per atom: -5.33
Density of states at the Fermi level in states/eV/cell: 12.41
Energy of formation in eV/atom: -0.359

Geometry as extended XYZ:
```
16
Lattice="7.3577 0.0000 -3.4732 -1.6396 7.1727 -3.4732 -0.1941 -0.2434 9.1188" Properties=species:S:1:pos:R:3 pbc="T T T"
Y 2.4710 4.7692 2.1937
Y 4.2845 7.0440 -3.4945
Y 0.0000 0.0000 0.0000
Y 2.8591 3.5864 -3.4732
Y 1.2396 -0.1147 5.6669
Y 4.6218 1.1828 3.3020
Y -0.9113 3.4716 4.5586
Y 0.9023 5.7465 -1.1296
Y 6.4354 3.4577 -2.3862
Y 3.0531 2.1601 -0.0213
Tl 0.4070 2.6084 -1.7366
Tl 4.4586 0.9780 -2.6838
Tl 1.2596 6.1947 -4.2627
Tl 5.3112 4.5644 -5.2099
In 4.1916 5.2578 -0.6504
In 1.3325 1.6715 2.8228
```



Density functional theory data (PBE) for crystalline Y2TlIn4 at its relaxed geometry.

Output
Electronic total energy in eV per atom: -4.02
Density of states at the Fermi level in states/eV/cell: 4.13
Energy of formation in eV/atom: -0.274

Geometry as extended XYZ:
```
7
Lattice="5.5497 0.0103 -3.1816 -1.8515 5.2317 -3.1816 0.0789 0.1118 6.5709" Properties=species:S:1:pos:R:3 pbc="T T T"
Y 0.1766 4.1766 0.3462
Y 3.8755 1.5671 0.3462
Tl 2.9510 4.1830 -1.2446
In 2.9121 4.1278 -4.5300
In 1.0619 1.5053 -1.3499
In 3.8366 1.5109 -2.9396
In 0.1367 4.1211 -2.9396
```



Density functional theory data (PBE) for crystalline Y11Tl4In9 at its relaxed geometry.

Output
Electronic total energy in eV per atom: -4.80
Density of states at the Fermi level in states/eV/cell: 15.49
Energy of formation in eV/atom: -0.415

Geometry as extended XYZ:
```
24
Lattice="-3.6221 0.2352 0.0473 -0.8310 -13.4312 3.1597 0.6454 7.6221 11.5134" Properties=species:S:1:pos:R:3 pbc="T T T"
Y 0.1165 -0.7892 12.8397
Y -0.3021 -5.0198 1.8333
Y -0.4040 -8.2113 9.8948
Y 0.2184 2.4023 4.7783
Y -0.2788 -5.5565 6.2843
Y 0.0932 -0.2525 8.3888
Y -0.5558 -9.5061 4.7171
Y 0.3702 3.6971 9.9560
Y 0.0000 0.0000 0.0000
Y -0.1434 -4.4885 11.3374
Y -0.0422 -1.3206 3.3356
Tl -1.8063 -1.9077 10.4571
Tl -2.0014 -3.6661 4.2633
Tl -2.0615 -5.5466 9.0132
Tl -1.7462 -0.0272 5.7071
In -2.2139 -6.8432 3.7926
In -1.5938 1.2694 10.9278
In -1.5510 2.6093 7.5432
In -2.2567 -8.1831 7.1772
In -1.8415 -3.1439 13.9048
In -1.9662 -2.4299 0.8155
In -2.1123 -7.0053 12.3727
In -1.6954 1.4315 2.3477
In -1.9038 -2.7869 7.3602
```



Density functional theory data (PBE) for crystalline YTlIn at its relaxed geometry.

Output
Electronic total energy in eV per atom: -4.12
Density of states at the Fermi level in states/eV/cell: 5.54
Energy of formation in eV/atom: -0.264

Geometry as extended XYZ:
```
6
Lattice="5.1323 0.0000 0.0000 -2.5662 4.3833 0.0000 0.0000 0.0000 7.0810" Properties=species:S:1:pos:R:3 pbc="T T T"
Y -1.2831 2.1917 0.0000
Y -1.2831 2.1917 3.5405
Tl 1.2831 3.6595 5.3107
Tl 1.2831 0.7238 1.7702
In 1.2831 3.6585 1.7702
In 1.2831 0.7248 5.3107
```



Density functional theory data (PBE) for crystalline Y4TlIn2 at its relaxed geometry.

Output
Electronic total energy in eV per atom: -5.12
Density of states at the Fermi level in states/eV/cell: 8.02
Energy of formation in eV/atom: -0.308

Geometry as extended XYZ:
```
7
Lattice="5.0292 0.0000 1.5712 2.2692 4.4882 1.5712 -0.0955 -0.0587 9.1401" Properties=species:S:1:pos:R:3 pbc="T T T"
Y 6.3274 3.8911 6.2502
Y 0.8754 0.5383 6.0324
Y 4.5102 2.7736 3.2324
Y 2.6926 1.6559 9.0501
Tl 0.0000 0.0000 0.0000
In 5.4153 3.3302 9.1699
In 1.7876 1.0993 3.1127
```



Density functional theory data (PBE) for crystalline YTlIn at its relaxed geometry.

Output
Electronic total energy in eV per atom: -4.16
Density of states at the Fermi level in states/eV/cell: 0.88
Energy of formation in eV/atom: -0.302

Geometry as extended XYZ:
```
3
Lattice="5.0075 0.0000 0.0000 -2.5037 4.3366 0.0000 0.0000 0.0000 3.7047" Properties=species:S:1:pos:R:3 pbc="T T T"
Y 2.5037 1.4455 2.4177
Tl 0.0000 2.8911 1.0756
In 0.0000 0.0000 0.2114
```



Density functional theory data (PBE) for crystalline Y5TlIn3 at its relaxed geometry.

Output
Electronic total energy in eV per atom: -5.22
Density of states at the Fermi level in states/eV/cell: 13.41
Energy of formation in eV/atom: -0.450

Geometry as extended XYZ:
```
18
Lattice="6.7017 0.0000 0.0000 0.0000 9.3291 0.0000 0.0000 -4.6646 8.0793" Properties=species:S:1:pos:R:3 pbc="T T T"
Y 0.0000 4.6646 2.6932
Y 3.3509 0.0000 5.3861
Y 0.0000 0.0000 5.3861
Y 3.3509 4.6646 2.6932
Y 5.0263 3.3126 5.7377
Y 5.0263 7.9771 2.3416
Y 5.0263 2.7038 0.0000
Y 1.6754 1.3520 2.3416
Y 1.6754 -3.3126 5.7377
Y 1.6754 6.6254 0.0000
Tl 0.0000 0.0000 0.0000
Tl 3.3509 0.0000 0.0000
In 5.0263 1.7415 3.0160
In 5.0263 -2.9231 5.0633
In 5.0263 5.8461 0.0000
In 1.6754 2.9231 5.0633
In 1.6754 7.5876 3.0160
In 1.6754 3.4830 0.0000
```



Density functional theory data (PBE) for crystalline Y3TlIn at its relaxed geometry.

Output
Electronic total energy in eV per atom: -5.25
Density of states at the Fermi level in states/eV/cell: 8.87
Energy of formation in eV/atom: -0.354

Geometry as extended XYZ:
```
10
Lattice="-4.9104 -0.9474 -0.7361 1.1829 -4.3398 -2.3055 -2.8945 -5.7751 9.3855" Properties=species:S:1:pos:R:3 pbc="T T T"
Y -3.8023 -2.4815 -0.0502
Y -4.1391 -6.5465 7.4285
Y -3.9708 -4.5152 3.6914
Y -0.7561 -4.1826 -0.8258
Y -6.0032 -9.1950 5.9169
Y -0.9244 -6.2139 2.9114
Tl -3.4642 -7.7087 4.4220
Tl -1.4310 -3.0204 2.1808
In -3.2953 -5.6706 0.6722
In -6.5103 -6.0059 5.1944
```



Density functional theory data (PBE) for crystalline Y3TlIn2 at its relaxed geometry.

Output
Electronic total energy in eV per atom: -5.00
Density of states at the Fermi level in states/eV/cell: 3.42
Energy of formation in eV/atom: -0.459

Geometry as extended XYZ:
```
6
Lattice="-0.1512 -3.7427 -0.1617 3.5662 -0.0942 -1.1533 3.5207 -0.6148 10.9368" Properties=species:S:1:pos:R:3 pbc="T T T"
Y 0.0000 0.0000 0.0000
Y 2.3587 -0.4119 7.3270
Y 1.1621 -0.2029 3.6098
Tl 3.4679 -2.2259 4.8109
In 4.6461 -2.4316 8.4708
In 2.2897 -2.0201 1.1510
```



Density functional theory data (PBE) for crystalline Y2TlIn at its relaxed geometry.

Output
Electronic total energy in eV per atom: -4.94
Density of states at the Fermi level in states/eV/cell: 2.45
Energy of formation in eV/atom: -0.434

Geometry as extended XYZ:
```
4
Lattice="-4.0140 3.4237 1.0485 -1.4485 -0.1120 -5.1798 -2.2788 -2.8860 0.6996" Properties=species:S:1:pos:R:3 pbc="T T T"
Y 0.0000 0.0000 0.0000
Y -2.7313 1.6558 -2.0656
Tl -1.8636 -1.4990 -2.2401
In -3.1464 0.2689 0.8741
```